Entry from Alexandria: a relaxed VFeSeO5 crystal (PBE with a Hubbard U).

The raw total energy is -6.374 eV per atom. The spin magnetization is 19.944 Bohr magnetons per cell. For the calculated volume, the calculation gives 407.3 Å³/cell.

It has space group C2/c (No. 15), with a = 6.882 Å, b = 9.150 Å, c = 7.033 Å, α = 90.00°, β = 113.12° and γ = 90.00°. The asymmetric unit holds V at (0.250, 0.250, 0.000), Fe at (0.000, 0.013, 0.250), Se at (0.000, 0.472, 0.250), O at (0.000, 0.219, 0.750), O at (0.036, 0.343, 0.088) and O at (0.191, 0.052, 0.090).